1.
The following is a GGA-PBE calculation of a geometry-optimized Pa2Mo structure, from the Alexandria database.

Geometry as POSCAR:
```
Pa2Mo
1.0
3.5320 0.0000 0.0000
0.0000 3.5320 0.0000
-1.7660 -1.7660 5.1230
Mo Pa
1 2
direct
0.0000 0.0000 0.0000 Mo
0.6672 0.6672 0.3344 Pa
0.3328 0.3328 0.6656 Pa
```

Results
Its symmetry is I4/mmm (139). For the magnetization, the calculation gives 0.0 Bohr magnetons per cell. For the formation energy, the calculation gives -27.3 meV/atom.

***

2.
The following is a GGA-PBE calculation of a geometry-optimized LiCr2 structure, from the Alexandria database.

Geometry as POSCAR:
```
LiCr2
1.0
1.1429 5.0975 0.0060
-1.1429 5.0975 0.0060
0.0000 1.5957 6.2101
Li Cr
2 4
direct
0.9288 0.9288 0.6333 Li
0.2723 0.2723 0.9584 Li
0.0190 0.0190 0.9948 Cr
0.3423 0.3423 0.3113 Cr
0.6674 0.6674 0.6323 Cr
0.6035 0.6035 0.3034 Cr
```

Results
The energy above the most stable polymorph in this dataset comes out at 50 meV/atom. Its symmetry is Cm (8). For the magnetization, the calculation gives 0.0 Bohr magnetons per cell. For the formation energy, the calculation gives 468.0 meV/atom.

***

3.
The following is a GGA-PBE calculation of a geometry-optimized Pm6Nd3DyHo2 structure, from the Alexandria database.

Geometry as POSCAR:
```
Pm6Nd3DyHo2
1.0
6.2919 -0.0012 0.0064
-3.1455 5.4492 0.0064
-1.0615 -1.8379 11.8161
Pm Nd Dy Ho
6 3 1 2
direct
0.9176 0.5841 0.7543 Pm
0.7490 0.7490 0.2457 Pm
0.0824 0.4159 0.2457 Pm
0.5841 0.9176 0.7543 Pm
0.2510 0.2510 0.7543 Pm
0.4159 0.0824 0.2457 Pm
0.1667 0.8333 0.5000 Nd
0.8333 0.1667 0.5000 Nd
0.5000 0.5000 0.5000 Nd
0.0000 0.0000 0.0000 Dy
0.3333 0.6667 0.0000 Ho
0.6667 0.3333 0.0000 Ho
```

Results
Its symmetry is C2/m (12). For the magnetization, the calculation gives 0.0 Bohr magnetons per cell. For the formation energy, the calculation gives 15.5 meV/atom.

***

4.
The following is a GGA-PBE calculation of a geometry-optimized LiPrSn2 structure, from the Alexandria database.

Geometry as POSCAR:
```
LiPrSn2
1.0
4.6241 0.0000 0.0000
2.3120 4.0046 0.0000
2.3120 1.3349 5.5117
Pr Sn Li
1 2 1
direct
0.0000 0.0000 0.0000 Pr
0.7802 0.7802 0.6595 Sn
0.2198 0.2198 0.3405 Sn
0.5000 0.5000 0.5000 Li
```

Results
The energy above the most stable polymorph in this dataset comes out at 63 meV/atom. Its symmetry is R-3m (166). For the magnetization, the calculation gives 0.0 Bohr magnetons per cell. For the formation energy, the calculation gives -521.9 meV/atom.

***

5.
The following is a GGA-PBE calculation of a geometry-optimized LaSc2TaCr structure, from the Alexandria database.

Geometry as POSCAR:
```
LaSc2TaCr
1.0
-4.5764 0.6426 -1.4726
0.6877 -3.4447 -3.6403
-1.4652 -3.4934 3.0289
Sc Cr La Ta
2 1 1 1
direct
0.0000 0.0000 0.5000 Sc
0.5000 0.0000 0.0000 Sc
0.0000 0.0000 0.0000 Cr
0.0000 0.5000 0.0000 La
0.5000 0.5000 0.5000 Ta
```

Results
Its symmetry is P4/mmm (123). For the magnetization, the calculation gives 0.0 Bohr magnetons per cell. For the formation energy, the calculation gives 958.6 meV/atom.

***

6.
The following is a GGA-PBE calculation of a geometry-optimized Ge3PbI8 structure, from the Alexandria database.

Geometry as POSCAR:
```
Ge3PbI8
1.0
8.7805 0.0000 0.0000
-4.3902 6.2218 -4.3702
0.0000 0.1300 9.2491
Ge Pb I
3 1 8
direct
0.5000 0.0000 0.0000 Ge
0.5000 0.5000 0.0000 Ge
0.0000 0.5000 0.0000 Ge
0.0000 0.0000 0.0000 Pb
0.2566 0.5131 0.7759 I
0.7434 0.4869 0.2241 I
0.2721 0.0153 0.7649 I
0.7431 0.0153 0.7649 I
0.7431 0.4862 0.7649 I
0.2569 0.5138 0.2351 I
0.2569 0.9847 0.2351 I
0.7279 0.9847 0.2351 I
```

Results
Its symmetry is C2/m (12). For the magnetization, the calculation gives 0.0 Bohr magnetons per cell. The calculation puts the formation energy without anion corrections at -0.3969 eV/atom.

***

7.
The following is a GGA-PBE calculation of a geometry-optimized Be2V2Ru5W structure, from the Alexandria database.

Geometry as POSCAR:
```
Be2V2Ru5W
1.0
3.0611 0.0000 0.0000
0.0000 9.2730 0.0000
0.0000 0.0000 9.2730
Be V Ru W
4 4 10 2
direct
0.0000 0.1207 0.6207 Be
0.0000 0.8793 0.3793 Be
0.0000 0.6207 0.8793 Be
0.0000 0.3793 0.1207 Be
0.0000 0.6733 0.1733 V
0.0000 0.3267 0.8267 V
0.0000 0.1733 0.3267 V
0.0000 0.8267 0.6733 V
0.5000 0.2082 0.0781 Ru
0.5000 0.7918 0.9219 Ru
0.5000 0.0781 0.7918 Ru
0.5000 0.7082 0.4219 Ru
0.5000 0.9219 0.2082 Ru
0.5000 0.2918 0.5781 Ru
0.5000 0.5781 0.7082 Ru
0.5000 0.4219 0.2918 Ru
0.5000 0.5000 0.0000 Ru
0.5000 0.0000 0.5000 Ru
0.0000 0.0000 0.0000 W
0.0000 0.5000 0.5000 W
```

Results
Its symmetry is P4/mbm (127). For the magnetization, the calculation gives 0.5 Bohr magnetons per cell. For the formation energy, the calculation gives -148.5 meV/atom.